[1]
VASP calculation (GGA-PBE) on crystalline Hf2TaTl at its relaxed geometry. Values from VASP.

```
&SYSTEM
  ibrav = 0, nat = 8, ntyp = 3
/
ATOMIC_SPECIES
Ta 180.95 Ta.upf
Tl 204.38 Tl.upf
Hf 178.49 Hf.upf
ATOMIC_POSITIONS angstrom
Ta 2.0833 2.0833 0.0000
Ta 2.0833 4.1666 5.2333
Tl 4.1666 2.0833 5.2333
Tl 0.0000 0.0000 0.0000
Hf 5.2083 5.1712 7.8499
Hf 3.0879 1.0417 2.6166
Hf 1.0787 3.1250 2.6166
Hf 3.1250 3.1620 7.8499
CELL_PARAMETERS angstrom
4.1666 0.0000 0.0000
0.0000 4.1666 0.0000
2.0833 2.0833 10.4666
```

Results
- E_form: 0.705 eV/atom
- Polymorph energy (0 for the lowest one): 674 meV per atom
- Symmetry: I-42d

[2]
VASP calculation (GGA-PBE) on crystalline HfTaTl2 at its relaxed geometry. Values from VASP.

```
&SYSTEM
  ibrav = 0, nat = 4, ntyp = 3
/
ATOMIC_SPECIES
Tl 204.38 Tl.upf
Ta 180.95 Ta.upf
Hf 178.49 Hf.upf
ATOMIC_POSITIONS angstrom
Tl 5.2484 5.2484 5.2484
Tl 1.7495 1.7495 1.7495
Ta 3.4990 3.4990 3.4990
Hf 0.0000 0.0000 0.0000
CELL_PARAMETERS angstrom
0.0000 3.4990 3.4990
3.4990 0.0000 3.4990
3.4990 3.4990 0.0000
```

Results
- E_form: 0.579 eV/atom
- Polymorph energy (0 for the lowest one): 0 meV per atom
- Symmetry: Fm-3m

[3]
VASP calculation (GGA-PBE) on crystalline HfTaTl2 at its relaxed geometry. Values from VASP.

```
&SYSTEM
  ibrav = 0, nat = 8, ntyp = 3
/
ATOMIC_SPECIES
Ta 180.95 Ta.upf
Hf 178.49 Hf.upf
Tl 204.38 Tl.upf
ATOMIC_POSITIONS angstrom
Ta 0.0000 0.0000 0.0000
Ta 7.8522 3.9261 1.5125
Hf 3.9261 3.9261 0.0000
Hf 3.9261 7.8522 1.5125
Tl 5.8891 5.8346 2.2688
Tl 9.8152 9.8698 2.2688
Tl 1.9085 5.8891 0.7563
Tl 5.9437 1.9630 0.7563
CELL_PARAMETERS angstrom
7.8522 0.0000 0.0000
0.0000 7.8522 0.0000
3.9261 3.9261 3.0250
```

Results
- E_form: 0.667 eV/atom
- Polymorph energy (0 for the lowest one): 87 meV per atom
- Symmetry: I-42d

[4]
VASP calculation (GGA-PBE) on crystalline HfTa2Tl at its relaxed geometry. Values from VASP.

```
&SYSTEM
  ibrav = 0, nat = 8, ntyp = 3
/
ATOMIC_SPECIES
Ta 180.95 Ta.upf
Hf 178.49 Hf.upf
Tl 204.38 Tl.upf
ATOMIC_POSITIONS angstrom
Ta -6.8454 -4.9487 -1.4015
Ta -5.9977 -0.9238 -1.7103
Ta -2.6423 -5.4466 -1.4826
Ta -10.9298 -8.0937 -3.6802
Hf -4.0724 -3.0343 -2.2485
Hf -4.9798 -7.1038 -1.9727
Tl -8.2277 -2.6026 -2.1646
Tl 0.0000 0.0000 0.0000
CELL_PARAMETERS angstrom
-7.3203 1.4670 -2.4405
-0.8245 -7.5356 -2.0566
-5.0628 -3.6378 0.3597
```

Results
- E_form: 0.926 eV/atom
- Polymorph energy (0 for the lowest one): 398 meV per atom
- Symmetry: I-42d